1.
Tb3TmAu4 | PBE-GGA | relaxed

Computed properties:
Magnetic moment in Bohr magnetons per cell: 0.00
Calculated density in g cm⁻³: 12.2
Polymorph energy (0 for the lowest one) in eV per formula unit: 1.609

Cell lengths 14.3698, 5.2816, 5.4641 Å; angles 90.00, 109.63, 90.00 degrees
Last column: nearest neighbours and their distance in Å.
Space group C2/m (No. 12)
One atom of each set of equivalent atoms:
Tb (0.0000, 0.0000, 0.0000) (multiplicity 2)  4 Au 3.02
Tb (0.1764, 0.0000, 0.6030) (multiplicity 4)  5 Au 2.90-3.01
Tm (0.0000, 0.5000, 0.5000) (multiplicity 2)  6 Au 2.94-3.26
Au (0.1073, 0.5000, 0.1275) (multiplicity 4)  2 Au 2.93, 2 Tm 2.94-3.25, 3 Tb 2.96-3.02
Au (0.2371, 0.5000, 0.8139) (multiplicity 4)  4 Tb 2.90-3.01, 1 Au 2.93

2.
Tb2Tm3Au2 | PBE-GGA | relaxed

Computed properties:
Magnetic moment in Bohr magnetons per cell: 0.00
Calculated density in g cm⁻³: 10.7
VASP energy in eV per atom: -4.692

Cell lengths 12.6504, 3.6690, 9.1090 Å; angles 90.00, 116.25, 90.00 degrees
Last column: nearest neighbours and their distance in Å.
Space group C2/m (No. 12)
One atom of each set of equivalent atoms:
Tb (0.1512, 0.0000, 0.3132) (multiplicity 4)  2 Au 3.08
Tm (0.0000, 0.5000, 0.5000) (multiplicity 2)  4 Au 2.91
Tm (0.1135, 0.5000, 0.9442) (multiplicity 4)  3 Au 2.97-3.00
Au (0.1703, 0.0000, 0.7325) (multiplicity 4)  5 Tm 2.91-3.00, 2 Tb 3.08

Repeat the first record exactly.
Tb3TmAu4 | PBE-GGA | relaxed

Computed properties:
Magnetic moment in Bohr magnetons per cell: 0.00
Calculated density in g cm⁻³: 12.2
Polymorph energy (0 for the lowest one) in eV per formula unit: 1.609

Cell lengths 14.3698, 5.2816, 5.4641 Å; angles 90.00, 109.63, 90.00 degrees
Last column: nearest neighbours and their distance in Å.
Space group C2/m (No. 12)
One atom of each set of equivalent atoms:
Tb (0.0000, 0.0000, 0.0000) (multiplicity 2)  4 Au 3.02
Tb (0.1764, 0.0000, 0.6030) (multiplicity 4)  5 Au 2.90-3.01
Tm (0.0000, 0.5000, 0.5000) (multiplicity 2)  6 Au 2.94-3.26
Au (0.1073, 0.5000, 0.1275) (multiplicity 4)  2 Au 2.93, 2 Tm 2.94-3.25, 3 Tb 2.96-3.02
Au (0.2371, 0.5000, 0.8139) (multiplicity 4)  4 Tb 2.90-3.01, 1 Au 2.93

Please write out number 1 again, unchanged.
Tb3TmAu4 | PBE-GGA | relaxed

Computed properties:
Magnetic moment in Bohr magnetons per cell: 0.00
Calculated density in g cm⁻³: 12.2
Polymorph energy (0 for the lowest one) in eV per formula unit: 1.609

Cell lengths 14.3698, 5.2816, 5.4641 Å; angles 90.00, 109.63, 90.00 degrees
Last column: nearest neighbours and their distance in Å.
Space group C2/m (No. 12)
One atom of each set of equivalent atoms:
Tb (0.0000, 0.0000, 0.0000) (multiplicity 2)  4 Au 3.02
Tb (0.1764, 0.0000, 0.6030) (multiplicity 4)  5 Au 2.90-3.01
Tm (0.0000, 0.5000, 0.5000) (multiplicity 2)  6 Au 2.94-3.26
Au (0.1073, 0.5000, 0.1275) (multiplicity 4)  2 Au 2.93, 2 Tm 2.94-3.25, 3 Tb 2.96-3.02
Au (0.2371, 0.5000, 0.8139) (multiplicity 4)  4 Tb 2.90-3.01, 1 Au 2.93